Material: RbNb3F
Method: DFT, PBE
State: optimized geometry

For the formation energy (no corrections), the calculation gives 1.031 eV/atom. As for the magnetization: 0.0000 μB/atom. Its energy above the most stable polymorph in this dataset is 0.000 eV per atom. As for the crystal system: cubic.

The space group is Pm-3m (No. 221) and the conventional cell measures 4.617, 4.617 and 4.617 Å, with angles of 90.00, 90.00 and 90.00 degrees. The distinct sites, in fractional coordinates, are Rb at (0.000, 0.000, 0.000), Nb at (0.000, 0.500, 0.500) and F at (0.500, 0.500, 0.500).

Material: LiZrGa2Br
Method: DFT, PBE
State: optimized geometry

For the formation energy (no corrections), the calculation gives 0.088 eV/atom. As for the magnetization: 0.0000 μB/atom. As for the crystal system: tetragonal.

The space group is P4/mmm (No. 123) and the conventional cell measures 5.362, 5.362 and 5.297 Å, with angles of 90.00, 90.00 and 90.00 degrees. The distinct sites, in fractional coordinates, are Li at (0.000, 0.000, 0.000), Zr at (0.500, 0.500, 0.500), Ga at (0.000, 0.500, 0.500) and Br at (0.500, 0.500, 0.000).

Material: LiCdIF2
Method: DFT, PBE
State: optimized geometry

For the formation energy (no corrections), the calculation gives -0.559 eV/atom. As for the magnetization: 0.0000 μB/atom. As for the crystal system: tetragonal.

The space group is P4/mmm (No. 123) and the conventional cell measures 4.747, 4.747 and 6.162 Å, with angles of 90.00, 90.00 and 90.00 degrees. The distinct sites, in fractional coordinates, are Li at (0.000, 0.000, 0.000), Cd at (0.500, 0.500, 0.000), I at (0.500, 0.500, 0.500) and F at (0.000, 0.500, 0.500).

Material: Tb6PrSm4
Method: DFT, PBE
State: optimized geometry

As for the energy of formation: 0.312 eV per atom. As for the magnetization: 0.0000 μB/atom. Its energy above the most stable polymorph in this dataset is 0.000 eV per atom. As for the crystal system: tetragonal.

The space group is I-42m (No. 121) and the conventional cell measures 6.651, 6.651 and 17.155 Å, with angles of 90.00, 90.00 and 90.00 degrees. The distinct sites, in fractional coordinates, are Tb at (0.000, 0.500, 0.000), Tb at (0.178, 0.178, 0.372), Pr at (0.000, 0.000, 0.000) and Sm at (0.189, 0.189, 0.176).

Material: SrCu6Si2
Method: DFT, PBE
State: optimized geometry

For the formation energy (no corrections), the calculation gives -0.175 eV/atom. As for the magnetization: 0.0000 μB/atom. As for the crystal system: tetragonal.

The space group is P4/mmm (No. 123) and the conventional cell measures 4.206, 4.206 and 7.695 Å, with angles of 90.00, 90.00 and 90.00 degrees. The distinct sites, in fractional coordinates, are Sr at (0.000, 0.000, 0.000), Cu at (0.000, 0.000, 0.500), Cu at (0.000, 0.500, 0.317), Cu at (0.500, 0.500, 0.500) and Si at (0.500, 0.500, 0.163).

Material: K3CaIr
Method: DFT, PBE
State: optimized geometry

As for the energy of formation: 1.597 eV per atom. As for the magnetization: 0.0326 μB/atom. Its energy above the most stable polymorph in this dataset is 0.826 eV per atom. As for the crystal system: cubic.

The space group is Pm-3m (No. 221) and the conventional cell measures 6.847, 6.847 and 6.847 Å, with angles of 90.00, 90.00 and 90.00 degrees. The distinct sites, in fractional coordinates, are K at (0.000, 0.000, 0.500), Ca at (0.000, 0.000, 0.000) and Ir at (0.500, 0.500, 0.500).

Material: Cs2NaGeBr6
Method: DFT, PBE
State: optimized geometry

For the formation energy (no corrections), the calculation gives -1.229 eV/atom. As for the magnetization: 0.0000 μB/atom. As for the crystal system: cubic.

The space group is Fm-3m (No. 225) and the conventional cell measures 11.238, 11.238 and 11.238 Å, with angles of 90.00, 90.00 and 90.00 degrees. The distinct sites, in fractional coordinates, are Cs at (0.250, 0.250, 0.250), Na at (0.000, 0.000, 0.000), Ge at (0.000, 0.000, 0.500) and Br at (0.000, 0.000, 0.263).

Material: TiCrI2N
Method: DFT, PBE
State: optimized geometry

For the formation energy (no corrections), the calculation gives 0.392 eV/atom. As for the magnetization: 0.5812 μB/atom. Its energy above the most stable polymorph in this dataset is 0.253 eV per atom. As for the crystal system: tetragonal.

The space group is P4/mmm (No. 123) and the conventional cell measures 5.570, 5.570 and 3.598 Å, with angles of 90.00, 90.00 and 90.00 degrees. The distinct sites, in fractional coordinates, are Ti at (0.000, 0.000, 0.000), Cr at (0.500, 0.500, 0.500), I at (0.000, 0.500, 0.500) and N at (0.500, 0.500, 0.000).

Material: Tb3ZnCu3
Method: DFT, PBE
State: optimized geometry

As for the energy of formation: -0.253 eV per atom. As for the magnetization: 0.0000 μB/atom. As for the crystal system: monoclinic.

The space group is C2/m (No. 12) and the conventional cell measures 10.204, 4.187 and 14.410 Å, with angles of 90.00, 108.74 and 90.00 degrees. The distinct sites, in fractional coordinates, are Tb at (0.037, 0.000, 0.390), Tb at (0.107, 0.000, 0.922), Tb at (0.247, 0.000, 0.232), Zn at (0.244, 0.500, 0.395), Cu at (0.038, 0.500, 0.233), Cu at (0.103, 0.500, 0.078) and Cu at (0.130, 0.500, 0.544).

For reference, Fermi-level density of states by record: 7.53 5.38 1.40 33.19 2.01 16.53 22.47 7.00 22.22 states/eV/cell.